Record 1
First-principles (PBE) data for a relaxed structure of Sn2BiPd8, as listed in Alexandria.

Computed properties:
DFT formation energy   -0.39 eV per atom
M_tot   0.000 μB per formula unit
Volume   191.4 Å³/f.u.

Geometry as POSCAR:
```
Sn2BiPd8
1.0
7.412 -2.081 0.000
7.412 2.081 0.000
-2.072 0.000 6.203
Sn Bi Pd
2 1 8
Direct
0.207 0.207 0.166
0.793 0.793 0.834
0.500 0.500 0.500
0.035 0.035 0.230
0.162 0.162 0.731
0.324 0.324 0.574
0.407 0.407 0.036
0.593 0.593 0.964
0.676 0.676 0.426
0.838 0.838 0.269
0.965 0.965 0.770
```

=====

Record 2
First-principles (PBE) data for a relaxed structure of Sn3BiPd6, as listed in Alexandria.

Computed properties:
DFT formation energy   -0.40 eV per atom
M_tot   0.000 μB per formula unit
Volume   194.9 Å³/f.u.

Geometry as POSCAR:
```
Sn3BiPd6
1.0
4.672 -5.778 0.000
4.672 5.778 0.000
0.000 0.000 7.220
Sn Bi Pd
6 2 12
Direct
0.051 0.949 0.500
0.208 0.443 0.602
0.443 0.208 0.102
0.557 0.792 0.602
0.792 0.557 0.102
0.949 0.051 0.000
0.293 0.707 0.177
0.707 0.293 0.677
0.059 0.421 0.944
0.146 0.257 0.287
0.229 0.771 0.771
0.257 0.146 0.787
0.421 0.059 0.444
0.481 0.519 0.882
0.519 0.481 0.382
0.579 0.941 0.944
0.743 0.854 0.287
0.771 0.229 0.271
0.854 0.743 0.787
0.941 0.579 0.444
```

=====

Record 3
First-principles (PBE) data for a relaxed structure of Sn6BiPd12, as listed in Alexandria.

Computed properties:
DFT formation energy   -0.35 eV per atom
M_tot   0.000 μB per formula unit
Volume   370.3 Å³/f.u.

Geometry as POSCAR:
```
Sn6BiPd12
1.0
6.176 3.566 2.802
-6.176 3.566 2.802
0.000 -7.132 2.802
Sn Bi Pd
6 1 12
Direct
0.282 0.282 0.700
0.282 0.700 0.282
0.300 0.718 0.718
0.700 0.282 0.282
0.718 0.300 0.718
0.718 0.718 0.300
0.000 0.000 0.000
0.120 0.500 0.880
0.120 0.880 0.500
0.125 0.366 0.366
0.366 0.125 0.366
0.366 0.366 0.125
0.500 0.120 0.880
0.500 0.880 0.120
0.634 0.634 0.875
0.634 0.875 0.634
0.875 0.634 0.634
0.880 0.120 0.500
0.880 0.500 0.120
```

=====

Record 4
First-principles (PBE) data for a relaxed structure of SnBi2Pd3, as listed in Alexandria.

Computed properties:
DFT formation energy   -0.37 eV per atom
M_tot   0.000 μB per formula unit
Volume   134.0 Å³/f.u.

Geometry as POSCAR:
```
SnBi2Pd3
1.0
6.144 -3.763 0.000
6.144 3.763 0.000
0.000 0.000 5.795
Sn Bi Pd
2 4 6
Direct
0.187 0.813 0.500
0.813 0.187 0.000
0.157 0.499 0.004
0.499 0.157 0.504
0.501 0.843 0.004
0.843 0.501 0.504
0.149 0.152 0.252
0.152 0.149 0.752
0.498 0.502 0.753
0.502 0.498 0.253
0.848 0.851 0.252
0.851 0.848 0.752
```

=====

Record 5
First-principles (PBE) data for a relaxed structure of SnBiPd4, as listed in Alexandria.

Computed properties:
DFT formation energy   -0.37 eV per atom
M_tot   0.000 μB per formula unit
Volume   111.2 Å³/f.u.

Geometry as POSCAR:
```
SnBiPd4
1.0
8.872 -2.724 0.000
8.872 2.724 0.000
-1.275 0.000 4.603
Sn Bi Pd
2 2 8
Direct
0.000 0.500 0.000
0.500 0.000 0.500
0.220 0.780 0.750
0.780 0.220 0.250
0.000 0.336 0.418
0.000 0.664 0.582
0.249 0.569 0.159
0.336 0.000 0.918
0.431 0.751 0.341
0.569 0.249 0.659
0.664 0.000 0.082
0.751 0.431 0.841
```

=====

Record 6
First-principles (PBE) data for a relaxed structure of SnBi2Pd7, as listed in Alexandria.

Computed properties:
DFT formation energy   -0.07 eV per atom
M_tot   0.000 μB per formula unit
Volume   212.3 Å³/f.u.

Geometry as POSCAR:
```
SnBi2Pd7
1.0
3.813 -7.901 0.000
3.813 7.901 0.000
0.000 0.000 3.523
Sn Bi Pd
1 2 7
Direct
0.000 0.000 0.000
0.322 0.678 0.500
0.678 0.322 0.500
0.099 0.283 0.500
0.194 0.806 0.000
0.283 0.099 0.500
0.500 0.500 0.500
0.717 0.901 0.500
0.806 0.194 0.000
0.901 0.717 0.500
```